# 1
RbOs2Pb | PBE | optimized geometry

Calculated values
E_form in meV/atom: 1391
SG: I-42d (122)
Crystal system: tetragonal

Unit cell a=4.708 b=4.708 c=10.463 alpha=77.00 beta=77.00 gamma=90.00
Element x y z (fractional)
Pb 0.750 0.250 0.500
Rb 0.500 0.500 0.000
Os 0.784 0.125 0.250
Os 0.375 0.216 0.750
Os 0.966 0.625 0.250
Pb 0.000 0.000 0.000
Rb 0.250 0.750 0.500
Os 0.875 0.034 0.750

# 2
RbOsPb3 | PBE | optimized geometry

Calculated values
Energy above the lowest structure with this stoichiometry in eV per atom: 1.8923
E_form in meV/atom: 2355
SG: Pm-3m (221)
Crystal system: cubic

Unit cell a=5.986 b=5.986 c=5.986 alpha=90.00 beta=90.00 gamma=90.00
Last column: magnetic moment on the atom in μB.
Element x y z (fractional)
Pb 0.500 0.000 0.000  0.00
Rb 0.000 0.000 0.000  0.01
Pb 0.000 0.000 0.500  -0.04
Pb 0.000 0.500 0.000  -0.04
Os 0.500 0.500 0.500  2.92

# 3
Rb2OsPb | PBE | optimized geometry

Calculated values
E_form in meV/atom: 899
SG: I-42d (122)
Crystal system: tetragonal

Unit cell a=12.869 b=12.869 c=9.469 alpha=47.19 beta=47.19 gamma=90.00
Last column: magnetic moment on the atom in μB.
Element x y z (fractional)
Rb 0.375 0.562 0.750  0.01
Pb 0.000 0.000 0.000  -0.04
Os 0.500 0.500 0.000  1.04
Rb 0.875 0.688 0.750  0.01
Os 0.250 0.750 0.500  1.04
Rb 0.438 0.125 0.250  0.01
Rb 0.312 0.625 0.250  0.01
Pb 0.750 0.250 0.500  -0.04

# 4
Rb3OsPb | PBE | optimized geometry

Calculated values
Energy above the lowest structure with this stoichiometry in eV per atom: 0.0000
E_form in meV/atom: 1378
SG: Pm-3m (221)
Crystal system: cubic

Unit cell a=6.337 b=6.337 c=6.337 alpha=90.00 beta=90.00 gamma=90.00
Last column: magnetic moment on the atom in μB.
Element x y z (fractional)
Pb 0.500 0.500 0.500  0.67
Rb 0.500 0.000 0.000  0.02
Rb 0.000 0.500 0.000  0.02
Os 0.000 0.000 0.000  -0.01
Rb 0.000 0.000 0.500  0.02

# 5
RbOsPbS2 | PBE | optimized geometry

Calculated values
SG: P4/mmm (123)
Crystal system: tetragonal

Unit cell a=4.665 b=4.665 c=6.152 alpha=90.00 beta=90.00 gamma=90.00
Last column: magnetic moment on the atom in μB.
Element x y z (fractional)
S 0.000 0.500 0.000  0.02
S 0.500 0.000 0.000  0.02
Os 0.000 0.000 0.000  0.26
Pb 0.500 0.500 0.500  0.20
Rb 0.000 0.000 0.500  0.03

# 6
ReOs2Pb | PBE | optimized geometry

Calculated values
E_form in meV/atom: 663
SG: R-3m (166)
Crystal system: trigonal

Unit cell a=9.793 b=9.793 c=9.793 alpha=16.88 beta=16.88 gamma=16.88
Element x y z (fractional)
Os 0.989 0.989 0.989
Os 0.511 0.511 0.511
Pb 0.750 0.750 0.750
Re 0.250 0.250 0.250

Number 1: total magnetization 0.00 μB per cell, VASP energy -43.1 eV per cell, calculated density 10.17 g cm⁻³. Number 2: total magnetization 3.15 μB per cell, VASP energy -11.5 eV per cell, calculated density 6.95 g cm⁻³. Number 3: total magnetization 2.20 μB per cell, VASP energy -26.6 eV per cell, calculated density 4.35 g cm⁻³. Number 4: total magnetization 2.59 μB per cell, VASP energy -11.0 eV per cell, calculated density 4.27 g cm⁻³. Number 5: total magnetization 0.92 μB per cell, VASP energy -21.2 eV per cell, calculated density 6.78 g cm⁻³. Number 6: total magnetization 0.00 μB per cell, VASP energy -36.0 eV per cell, calculated density 18.59 g cm⁻³.